1.
Si5Pt12 after structural relaxation, computed with PBE.

a b c (Å): 13.5584 13.5584 5.5853
angles (deg): 90.00 90.00 90.00
Sites, in units of the cell vectors:
Pt1 0.3448 0.5361 0.7554
Pt2 0.1464 0.9801 0.7451
Pt3 0.4826 0.8530 0.6883
Pt4 0.9639 0.8448 0.7554
Pt5 0.9801 0.8536 0.2549
Pt6 0.6535 0.2865 0.4654
Pt7 0.7135 0.6535 0.5346
Pt8 0.0199 0.1464 0.2549
Pt9 0.5361 0.6552 0.2446
Pt10 0.5174 0.1470 0.6883
Pt11 0.1474 0.4655 0.8117
Pt12 0.2930 0.8336 0.9022
Pt13 0.9655 0.3526 0.8117
Pt14 0.3526 0.0345 0.1883
Pt15 0.6464 0.4801 0.2549
Pt16 0.1470 0.4826 0.3117
Pt17 0.7930 0.3336 0.0978
Pt18 0.8448 0.0361 0.2446
Pt19 0.4801 0.3536 0.7451
Pt20 0.1535 0.7865 0.5346
Pt21 0.8536 0.0199 0.7451
Pt22 0.8336 0.7070 0.0978
Pt23 0.0361 0.1552 0.7554
Pt24 0.2070 0.6664 0.0978
Pt25 0.6664 0.7930 0.9022
Pt26 0.7070 0.1664 0.9022
Pt27 0.6552 0.4639 0.7554
Pt28 0.2865 0.3465 0.5346
Pt29 0.2135 0.1535 0.4654
Pt30 0.3465 0.7135 0.4654
Pt31 0.9826 0.3530 0.3117
Pt32 0.6474 0.9655 0.1883
Pt33 0.3336 0.2070 0.9022
Pt34 0.1664 0.2930 0.0978
Pt35 0.0174 0.6470 0.3117
Pt36 0.8465 0.2135 0.5346
Pt37 0.8526 0.5345 0.8117
Pt38 0.0345 0.6474 0.8117
Pt39 0.7865 0.8465 0.4654
Pt40 0.5199 0.6464 0.7451
Pt41 0.4655 0.8526 0.1883
Pt42 0.4639 0.3448 0.2446
Pt43 0.1552 0.9639 0.2446
Pt44 0.3536 0.5199 0.2549
Pt45 0.6470 0.9826 0.6883
Pt46 0.5345 0.1474 0.1883
Pt47 0.8530 0.5174 0.3117
Pt48 0.3530 0.0174 0.6883
Si1 0.6161 0.3152 0.0126
Si2 0.5000 0.5000 0.5000
Si3 0.3072 0.8862 0.4280
Si4 0.8839 0.1848 0.9874
Si5 0.8152 0.8839 0.0126
Si6 0.8862 0.6928 0.5720
Si7 0.6848 0.6161 0.9874
Si8 0.5000 0.0000 0.9404
Si9 0.0000 0.0000 0.5000
Si10 0.3152 0.3839 0.9874
Si11 0.1161 0.8152 0.9874
Si12 0.3862 0.1928 0.4280
Si13 0.0000 0.5000 0.0596
Si14 0.6928 0.1138 0.4280
Si15 0.8072 0.3862 0.5720
Si16 0.1848 0.1161 0.0126
Si17 0.1928 0.6138 0.5720
Si18 0.1138 0.3072 0.5720
Si19 0.6138 0.8072 0.4280
Si20 0.3839 0.6848 0.0126

Calculated values
M_tot	0.0	μB per cell
space-group type	P4/n, No. 85
energy	-6.46	eV per atom

2.
YMgAsOs after structural relaxation, computed with PBE.

a b c (Å): 4.6777 4.6777 4.6777
angles (deg): 60.00 60.00 60.00
Sites, in units of the cell vectors:
Y1 0.5000 0.5000 0.5000
Os1 0.2500 0.2500 0.2500
As1 0.0000 0.0000 0.0000
Mg1 0.7500 0.7500 0.7500

Calculated values
M_tot	0.0	μB per cell
offset from the most stable computed form	0.0841	eV per atom
space-group type	F-43m, No. 216

3.
BiIrNO after structural relaxation, computed with PBE.

a b c (Å): 3.9893 3.9893 7.5918
angles (deg): 90.00 90.00 94.06
Sites, in units of the cell vectors:
Ir1 0.0000 0.5000 0.5000
Ir2 0.5000 0.0000 0.5000
O1 0.5000 0.0000 0.0000
O2 0.0000 0.5000 0.0000
Bi1 0.5000 0.5000 0.1631
Bi2 0.0000 0.0000 0.8369
N1 0.0000 0.0000 0.4063
N2 0.5000 0.5000 0.5937

Calculated values
M_tot	0.0	μB per cell
offset from the most stable computed form	0.1854	eV per atom
space-group type	Cmme, No. 67

4.
GdErCuTe3 after structural relaxation, computed with PBE.

a b c (Å): 7.3892 7.3892 11.2369
angles (deg): 90.00 90.00 147.67
Sites, in units of the cell vectors:
Gd1 0.0000 0.0000 0.0000
Gd2 0.0000 0.0000 0.5000
Te1 0.6509 0.3491 0.4281
Te2 0.6509 0.3491 0.0719
Te3 0.3491 0.6509 0.9281
Te4 0.0988 0.9012 0.7500
Te5 0.3491 0.6509 0.5719
Te6 0.9012 0.0988 0.2500
Cu1 0.5293 0.4707 0.2500
Cu2 0.4707 0.5293 0.7500
Er1 0.7737 0.2263 0.7500
Er2 0.2263 0.7737 0.2500

Calculated values
M_tot	0.0	μB per cell
space-group type	Cmcm, No. 63
energy	-4.71	eV per atom

5.
Ba7B12Ir12 after structural relaxation, computed with PBE.

a b c (Å): 9.3417 9.3417 9.3417
angles (deg): 111.37 111.37 111.37
Sites, in units of the cell vectors:
Ir1 0.2360 0.6154 0.2360
Ir2 0.3302 0.6698 0.0000
Ir3 0.6154 0.2360 0.2360
Ir4 0.3302 0.0000 0.6698
Ir5 0.6698 0.0000 0.3302
Ir6 0.7640 0.7640 0.3846
Ir7 0.0000 0.6698 0.3302
Ir8 0.6698 0.3302 0.0000
Ir9 0.7640 0.3846 0.7640
Ir10 0.2360 0.2360 0.6154
Ir11 0.0000 0.3302 0.6698
Ir12 0.3846 0.7640 0.7640
B1 0.5000 0.7271 0.2729
B2 0.2729 0.7271 0.5000
B3 0.9408 0.5000 0.0592
B4 0.5000 0.9408 0.0592
B5 0.5000 0.0592 0.9408
B6 0.2729 0.5000 0.7271
B7 0.7271 0.2729 0.5000
B8 0.7271 0.5000 0.2729
B9 0.5000 0.2729 0.7271
B10 0.9408 0.0592 0.5000
B11 0.0592 0.9408 0.5000
B12 0.0592 0.5000 0.9408
Ba1 0.7066 0.7066 0.0105
Ba2 0.5000 0.5000 0.5000
Ba3 0.7066 0.0105 0.7066
Ba4 0.2934 0.9895 0.2934
Ba5 0.9895 0.2934 0.2934
Ba6 0.0105 0.7066 0.7066
Ba7 0.2934 0.2934 0.9895

Calculated values
M_tot	0.9	μB per cell
space-group type	R-3m, No. 166
energy	-6.93	eV per atom

6.
Mg4Ge2PdPt after structural relaxation, computed with PBE.

a b c (Å): 4.4239 4.4239 8.5336
angles (deg): 90.00 90.00 120.00
Sites, in units of the cell vectors:
Mg1 0.3333 0.6667 0.3325
Mg2 0.3333 0.6667 0.6675
Mg3 0.6667 0.3333 0.8324
Mg4 0.6667 0.3333 0.1676
Ge1 0.0000 0.0000 0.5000
Ge2 0.0000 0.0000 0.0000
Pt1 0.6667 0.3333 0.5000
Pd1 0.3333 0.6667 0.0000

Calculated values
M_tot	0.0	μB per cell
space-group type	P-6m2, No. 187
energy	-3.85	eV per atom

7.
RbTcAuSeS2 after structural relaxation, computed with PBE.

a b c (Å): 8.5674 8.5674 10.0195
angles (deg): 90.00 90.00 155.48
Sites, in units of the cell vectors:
Se1 0.4509 0.5491 0.7500
Se2 0.5491 0.4509 0.2500
Tc1 0.5000 0.5000 0.5000
Tc2 0.5000 0.5000 0.0000
S1 0.8999 0.1001 0.4820
S2 0.8999 0.1001 0.0180
S3 0.1001 0.8999 0.9820
S4 0.1001 0.8999 0.5180
Au1 0.1025 0.8975 0.7500
Au2 0.8975 0.1025 0.2500
Rb1 0.7750 0.2251 0.7500
Rb2 0.2251 0.7750 0.2500

Calculated values
M_tot	5.0	μB per cell
space-group type	Cmcm, No. 63
energy	-4.72	eV per atom

8.
CuGePtW after structural relaxation, computed with PBE.

a b c (Å): 4.4185 4.4185 4.4185
angles (deg): 60.00 60.00 60.00
Sites, in units of the cell vectors:
W1 0.5000 0.5000 0.5000
Ge1 0.0000 0.0000 0.0000
Pt1 0.2500 0.2500 0.2500
Cu1 0.7500 0.7500 0.7500

Calculated values
M_tot	0.1	μB per cell
offset from the most stable computed form	0.2412	eV per atom
space-group type	F-43m, No. 216

Which of these has the highest M_tot?
RbTcAuSeS2

What is the M_tot in the eighth record?
0.1 μB per cell